Compound: Cs2K2H4Pt
Source: Alexandria via LeMat-Bulk
Functional: PBE
Structure: relaxed

Cell: 7.3121 7.3121 7.3121 Å, 114.40 114.40 100.01°
Element x y z (fractional)
Cs 0.2500 0.7500 0.5000
Cs 0.7500 0.2500 0.5000
K 0.1890 0.1890 0.0000
K 0.8110 0.8110 0.0000
H 0.3502 0.3502 0.7005
H 0.3502 0.6498 0.0000
H 0.6498 0.3502 0.0000
H 0.6498 0.6498 0.2995
Pt 0.5000 0.5000 0.0000

Computed properties:
Its space group is No. 139. As for the energy: -2.72 eV per atom.